## one
First-principles (GGA-PBE) data for a relaxed Hf2GaPd2 crystal, as listed in Alexandria.

Calculated values
DOS at the Fermi energy	7.42	states/eV per cell
space group	No. 127
crystal system	tetragonal

Geometry as CIF:
```
data_Hf2GaPd2
_symmetry_space_group_name_H-M 'P 1'
_symmetry_Int_Tables_number 1
_cell_length_a 7.7520
_cell_length_b 7.7520
_cell_length_c 3.1843
_cell_angle_alpha 90.00
_cell_angle_beta 90.00
_cell_angle_gamma 90.00
loop_
_symmetry_equiv_pos_as_xyz
'x,y,z'
loop_
_atom_site_label
_atom_site_type_symbol
_atom_site_fract_x
_atom_site_fract_y
_atom_site_fract_z
Hf1 Hf 0.1656 0.3344 0.0000
Hf2 Hf 0.3344 0.8344 0.0000
Hf3 Hf 0.6656 0.1656 0.0000
Hf4 Hf 0.8344 0.6656 0.0000
Ga1 Ga 0.0000 0.0000 0.0000
Ga2 Ga 0.5000 0.5000 0.0000
Pd1 Pd 0.1295 0.6295 0.5000
Pd2 Pd 0.3705 0.1295 0.5000
Pd3 Pd 0.6295 0.8705 0.5000
Pd4 Pd 0.8705 0.3705 0.5000
```

## two
First-principles (GGA-PBE) data for a relaxed Hf2GaPd2 crystal, as listed in Alexandria.

Calculated values
DOS at the Fermi energy	5.54	states/eV per cell
space group	No. 127
crystal system	tetragonal

Geometry as CIF:
```
data_Hf2GaPd2
_symmetry_space_group_name_H-M 'P 1'
_symmetry_Int_Tables_number 1
_cell_length_a 7.3697
_cell_length_b 7.3697
_cell_length_c 3.3832
_cell_angle_alpha 90.00
_cell_angle_beta 90.00
_cell_angle_gamma 90.00
loop_
_symmetry_equiv_pos_as_xyz
'x,y,z'
loop_
_atom_site_label
_atom_site_type_symbol
_atom_site_fract_x
_atom_site_fract_y
_atom_site_fract_z
Hf1 Hf 0.1710 0.3290 0.0000
Hf2 Hf 0.3290 0.8290 0.0000
Hf3 Hf 0.6710 0.1710 0.0000
Hf4 Hf 0.8290 0.6710 0.0000
Ga1 Ga 0.0000 0.0000 0.5000
Ga2 Ga 0.5000 0.5000 0.5000
Pd1 Pd 0.1304 0.6304 0.5000
Pd2 Pd 0.3696 0.1304 0.5000
Pd3 Pd 0.6304 0.8696 0.5000
Pd4 Pd 0.8696 0.3696 0.5000
```

In order of decreasing stability: two, one.

## one
First-principles (GGA-PBE) data for a relaxed HfGaPdRh crystal, as listed in Alexandria.

Calculated values
DOS at the Fermi energy	0.43	states/eV per cell
space group	No. 119
crystal system	tetragonal

Geometry as CIF:
```
data_HfGaPdRh
_symmetry_space_group_name_H-M 'P 1'
_symmetry_Int_Tables_number 1
_cell_length_a 4.7623
_cell_length_b 4.7623
_cell_length_c 4.7623
_cell_angle_alpha 128.81
_cell_angle_beta 128.81
_cell_angle_gamma 75.31
loop_
_symmetry_equiv_pos_as_xyz
'x,y,z'
loop_
_atom_site_label
_atom_site_type_symbol
_atom_site_fract_x
_atom_site_fract_y
_atom_site_fract_z
Hf1 Hf 0.0000 0.0000 0.0000
Ga1 Ga 0.5000 0.5000 0.0000
Pd1 Pd 0.7500 0.2500 0.5000
Rh1 Rh 0.2500 0.7500 0.5000
```

## two
First-principles (GGA-PBE) data for a relaxed HfGaPdRh crystal, as listed in Alexandria.

Calculated values
DOS at the Fermi energy	2.74	states/eV per cell
space group	No. 216
crystal system	cubic

Geometry as CIF:
```
data_HfGaPdRh
_symmetry_space_group_name_H-M 'P 1'
_symmetry_Int_Tables_number 1
_cell_length_a 4.5022
_cell_length_b 4.5022
_cell_length_c 4.5022
_cell_angle_alpha 60.00
_cell_angle_beta 60.00
_cell_angle_gamma 60.00
loop_
_symmetry_equiv_pos_as_xyz
'x,y,z'
loop_
_atom_site_label
_atom_site_type_symbol
_atom_site_fract_x
_atom_site_fract_y
_atom_site_fract_z
Hf1 Hf 0.0000 0.0000 0.0000
Ga1 Ga 0.5000 0.5000 0.5000
Pd1 Pd 0.7500 0.7500 0.7500
Rh1 Rh 0.2500 0.2500 0.2500
```

In order of decreasing stability: one, two.

## one
First-principles (GGA-PBE) data for a relaxed HfGaTcPd crystal, as listed in Alexandria.

Calculated values
DOS at the Fermi energy	0.97	states/eV per cell
space group	No. 216
crystal system	cubic

Geometry as CIF:
```
data_HfGaTcPd
_symmetry_space_group_name_H-M 'P 1'
_symmetry_Int_Tables_number 1
_cell_length_a 4.4981
_cell_length_b 4.4981
_cell_length_c 4.4981
_cell_angle_alpha 60.00
_cell_angle_beta 60.00
_cell_angle_gamma 60.00
loop_
_symmetry_equiv_pos_as_xyz
'x,y,z'
loop_
_atom_site_label
_atom_site_type_symbol
_atom_site_fract_x
_atom_site_fract_y
_atom_site_fract_z
Hf1 Hf 0.0000 0.0000 0.0000
Ga1 Ga 0.5000 0.5000 0.5000
Tc1 Tc 0.7500 0.7500 0.7500
Pd1 Pd 0.2500 0.2500 0.2500
```

## two
First-principles (GGA-PBE) data for a relaxed HfGaTcPd crystal, as listed in Alexandria.

Calculated values
DOS at the Fermi energy	0.87	states/eV per cell
space group	No. 47
crystal system	orthorhombic

Geometry as CIF:
```
data_HfGaTcPd
_symmetry_space_group_name_H-M 'P 1'
_symmetry_Int_Tables_number 1
_cell_length_a 3.3993
_cell_length_b 4.2828
_cell_length_c 4.3978
_cell_angle_alpha 90.00
_cell_angle_beta 90.00
_cell_angle_gamma 90.00
loop_
_symmetry_equiv_pos_as_xyz
'x,y,z'
loop_
_atom_site_label
_atom_site_type_symbol
_atom_site_fract_x
_atom_site_fract_y
_atom_site_fract_z
Hf1 Hf 0.0000 0.0000 0.0000
Ga1 Ga 0.0000 0.5000 0.5000
Tc1 Tc 0.5000 0.5000 0.0000
Pd1 Pd 0.5000 0.0000 0.5000
```

In order of decreasing stability: two, one.

## one
First-principles (GGA-PBE) data for a relaxed HfZnGaPd crystal, as listed in Alexandria.

Calculated values
DOS at the Fermi energy	1.94	states/eV per cell
space group	No. 8
crystal system	monoclinic

Geometry as CIF:
```
data_HfZnGaPd
_symmetry_space_group_name_H-M 'P 1'
_symmetry_Int_Tables_number 1
_cell_length_a 4.3176
_cell_length_b 4.3176
_cell_length_c 4.8277
_cell_angle_alpha 117.01
_cell_angle_beta 117.01
_cell_angle_gamma 60.58
loop_
_symmetry_equiv_pos_as_xyz
'x,y,z'
loop_
_atom_site_label
_atom_site_type_symbol
_atom_site_fract_x
_atom_site_fract_y
_atom_site_fract_z
Hf1 Hf 0.0000 0.0000 0.0000
Zn1 Zn 0.7655 0.7655 0.2970
Ga1 Ga 0.2343 0.2343 0.7038
Pd1 Pd 0.5134 0.5134 0.5407
```

## two
First-principles (GGA-PBE) data for a relaxed HfZnGaPd crystal, as listed in Alexandria.

Calculated values
DOS at the Fermi energy	2.74	states/eV per cell
space group	No. 216
crystal system	cubic

Geometry as CIF:
```
data_HfZnGaPd
_symmetry_space_group_name_H-M 'P 1'
_symmetry_Int_Tables_number 1
_cell_length_a 4.5456
_cell_length_b 4.5456
_cell_length_c 4.5456
_cell_angle_alpha 60.00
_cell_angle_beta 60.00
_cell_angle_gamma 60.00
loop_
_symmetry_equiv_pos_as_xyz
'x,y,z'
loop_
_atom_site_label
_atom_site_type_symbol
_atom_site_fract_x
_atom_site_fract_y
_atom_site_fract_z
Hf1 Hf 0.0000 0.0000 0.0000
Zn1 Zn 0.5000 0.5000 0.5000
Ga1 Ga 0.7500 0.7500 0.7500
Pd1 Pd 0.2500 0.2500 0.2500
```

In order of decreasing stability: two, one.

## one
First-principles (GGA-PBE) data for a relaxed PmHfGa crystal, as listed in Alexandria.

Calculated values
DOS at the Fermi energy	3.95	states/eV per cell
space group	No. 107
crystal system	tetragonal

Geometry as CIF:
```
data_PmHfGa
_symmetry_space_group_name_H-M 'P 1'
_symmetry_Int_Tables_number 1
_cell_length_a 6.6990
_cell_length_b 6.6990
_cell_length_c 6.6990
_cell_angle_alpha 150.82
_cell_angle_beta 150.82
_cell_angle_gamma 41.74
loop_
_symmetry_equiv_pos_as_xyz
'x,y,z'
loop_
_atom_site_label
_atom_site_type_symbol
_atom_site_fract_x
_atom_site_fract_y
_atom_site_fract_z
Pm1 Pm 0.0000 0.0000 0.0000
Hf1 Hf 0.3063 0.3063 0.0000
Ga1 Ga 0.6718 0.6718 0.0000
```

## two
First-principles (GGA-PBE) data for a relaxed PmHfGa crystal, as listed in Alexandria.

Calculated values
DOS at the Fermi energy	14.44	states/eV per cell
space group	No. 189
crystal system	hexagonal

Geometry as CIF:
```
data_PmHfGa
_symmetry_space_group_name_H-M 'P 1'
_symmetry_Int_Tables_number 1
_cell_length_a 7.6091
_cell_length_b 7.6091
_cell_length_c 4.3358
_cell_angle_alpha 90.00
_cell_angle_beta 90.00
_cell_angle_gamma 120.00
loop_
_symmetry_equiv_pos_as_xyz
'x,y,z'
loop_
_atom_site_label
_atom_site_type_symbol
_atom_site_fract_x
_atom_site_fract_y
_atom_site_fract_z
Pm1 Pm 0.0000 0.5897 0.0000
Pm2 Pm 0.4103 0.4103 0.0000
Pm3 Pm 0.5897 0.0000 0.0000
Hf1 Hf 0.0000 0.2390 0.5000
Hf2 Hf 0.2390 0.0000 0.5000
Hf3 Hf 0.7610 0.7610 0.5000
Ga1 Ga 0.0000 0.0000 0.0000
Ga2 Ga 0.3333 0.6667 0.5000
Ga3 Ga 0.6667 0.3333 0.5000
```

In order of decreasing stability: two, one.

## one
First-principles (GGA-PBE) data for a relaxed PrHfGa4 crystal, as listed in Alexandria.

Calculated values
DOS at the Fermi energy	2.91	states/eV per cell
space group	No. 71
crystal system	orthorhombic

Geometry as CIF:
```
data_PrHfGa4
_symmetry_space_group_name_H-M 'P 1'
_symmetry_Int_Tables_number 1
_cell_length_a 5.7796
_cell_length_b 5.7796
_cell_length_c 5.7796
_cell_angle_alpha 137.60
_cell_angle_beta 101.42
_cell_angle_gamma 93.64
loop_
_symmetry_equiv_pos_as_xyz
'x,y,z'
loop_
_atom_site_label
_atom_site_type_symbol
_atom_site_fract_x
_atom_site_fract_y
_atom_site_fract_z
Pr1 Pr 0.0000 0.0000 0.0000
Hf1 Hf 0.5000 0.5000 0.0000
Ga1 Ga 0.0935 0.7585 0.3350
Ga2 Ga 0.4235 0.7585 0.6650
Ga3 Ga 0.5765 0.2415 0.3350
Ga4 Ga 0.9065 0.2415 0.6650
```

## two
First-principles (GGA-PBE) data for a relaxed PrHfGa4 crystal, as listed in Alexandria.

Calculated values
DOS at the Fermi energy	2.02	states/eV per cell
space group	No. 216
crystal system	cubic

Geometry as CIF:
```
data_PrHfGa4
_symmetry_space_group_name_H-M 'P 1'
_symmetry_Int_Tables_number 1
_cell_length_a 5.4708
_cell_length_b 5.4708
_cell_length_c 5.4708
_cell_angle_alpha 60.00
_cell_angle_beta 60.00
_cell_angle_gamma 60.00
loop_
_symmetry_equiv_pos_as_xyz
'x,y,z'
loop_
_atom_site_label
_atom_site_type_symbol
_atom_site_fract_x
_atom_site_fract_y
_atom_site_fract_z
Pr1 Pr 0.0000 0.0000 0.0000
Hf1 Hf 0.2500 0.2500 0.2500
Ga1 Ga 0.1268 0.6244 0.6244
Ga2 Ga 0.6244 0.1268 0.6244
Ga3 Ga 0.6244 0.6244 0.1268
Ga4 Ga 0.6244 0.6244 0.6244
```

In order of decreasing stability: one, two.